Entry i
Entry from Alexandria: a geometry-optimized GeBi2Pd2 structure (PBE).

Properties
D(E_F): 0.654 states/eV per atom
V: 116.4 Å³ per cell

Cell lengths 3.8974, 3.8974, 8.1455 Å; angles 76.16, 76.16, 90.00 degrees
Last column: nearest neighbours and their distance in Å.
Fractional positions:
1 Bi 0.6141 0.6141 0.7718  4 Pd 2.85
2 Bi 0.3859 0.3859 0.2282  4 Pd 2.85
3 Pd 0.7500 0.2500 0.5000  4 Pd 2.76, 4 Bi 2.85
4 Pd 0.2500 0.7500 0.5000  4 Pd 2.76, 4 Bi 2.85
5 Ge 0.0000 0.0000 0.0000  8 Bi 3.26


Entry ii
Entry from Alexandria: a geometry-optimized GeBi2Pd2 structure (PBE).

Properties
D(E_F): 0.636 states/eV per atom
V: 226.7 Å³ per cell

Cell lengths 8.2653, 8.2653, 3.3184 Å; angles 90.00, 90.00, 90.00 degrees
Last column: nearest neighbours and their distance in Å.
Fractional positions:
1 Bi 0.8361 0.6639 0.0000  6 Pd 2.94-2.95, 2 Ge 3.09
2 Bi 0.6639 0.1639 0.0000  6 Pd 2.94-2.95, 2 Ge 3.09
3 Bi 0.3361 0.8361 0.0000  6 Pd 2.94-2.95, 2 Ge 3.09
4 Bi 0.1639 0.3361 0.0000  6 Pd 2.94-2.95, 2 Ge 3.09
5 Pd 0.3725 0.1275 0.5000  6 Bi 2.94-2.95, 1 Pd 2.98
6 Pd 0.8725 0.3725 0.5000  6 Bi 2.94-2.95, 1 Pd 2.98
7 Pd 0.1275 0.6275 0.5000  6 Bi 2.94-2.95, 1 Pd 2.98
8 Pd 0.6275 0.8725 0.5000  6 Bi 2.94-2.95, 1 Pd 2.98
9 Ge 0.5000 0.5000 0.0000  4 Bi 3.09, 2 Ge 3.32
10 Ge 0.0000 0.0000 0.0000  4 Bi 3.09, 2 Ge 3.32


Stability summary: most stable entry i, least stable entry ii.


Entry i
Entry from Alexandria: a geometry-optimized GeBiPd6 structure (PBE).

Properties
D(E_F): 0.773 states/eV per atom
V: 132.7 Å³ per cell

Cell lengths 7.8492, 7.8492, 7.8492 Å; angles 33.70, 33.70, 33.70 degrees
Last column: nearest neighbours and their distance in Å.
Fractional positions:
1 Ge 0.5000 0.5000 0.5000  8 Pd 2.51-2.73
2 Pd 0.1331 0.1331 0.1331  7 Pd 2.70-3.02, 3 Ge 2.73, 1 Bi 2.95
3 Pd 0.2549 0.2549 0.2549  8 Pd 2.69-2.93
4 Pd 0.8669 0.8669 0.8669  7 Pd 2.70-3.02, 3 Ge 2.73, 1 Bi 2.95
5 Pd 0.3869 0.3869 0.3869  1 Ge 2.51, 3 Pd 2.69
6 Pd 0.7451 0.7451 0.7451  8 Pd 2.69-2.93
7 Pd 0.6131 0.6131 0.6131  1 Ge 2.51, 3 Pd 2.69
8 Bi 0.0000 0.0000 0.0000  14 Pd 2.88-3.15


Entry ii
Entry from Alexandria: a geometry-optimized GeBiPd6 structure (PBE).

Properties
D(E_F): 0.335 states/eV per atom
V: 131.7 Å³ per cell

Cell lengths 4.0643, 4.0643, 7.9707 Å; angles 90.00, 90.00, 90.00 degrees
Last column: nearest neighbours and their distance in Å.
Fractional positions:
1 Bi 0.0000 0.0000 0.0000  12 Pd 2.87-2.95
2 Pd 0.5000 0.5000 0.0000  4 Bi 2.87, 8 Pd 2.95
3 Pd 0.5000 0.0000 0.7319  2 Ge 2.75, 8 Pd 2.75-2.95, 2 Bi 2.95
4 Pd 0.5000 0.0000 0.2681  8 Pd 2.75-2.95, 2 Ge 2.75, 2 Bi 2.95
5 Pd 0.0000 0.5000 0.2681  2 Ge 2.75, 8 Pd 2.75-2.95, 2 Bi 2.95
6 Pd 0.0000 0.5000 0.7319  2 Ge 2.75, 8 Pd 2.75-2.95, 2 Bi 2.95
7 Pd 0.5000 0.5000 0.5000  8 Pd 2.75, 4 Ge 2.87
8 Ge 0.0000 0.0000 0.5000  12 Pd 2.75-2.87


Stability summary: most stable entry ii, least stable entry i.